No. 1
A geometry-optimized Ce4C2I structure. Source: Alexandria via LeMat-Bulk, functional PBE.

Lattice parameters (Å, degrees): 7.812 7.812 7.810 121.02 107.28 100.82
Each line ends with the local moment (μB).
Sites, in units of the cell vectors:
C: 0.625 0.393 0.268  -0.04
C: 0.612 0.375 0.737  -0.05
C: 0.125 0.357 0.732  -0.04
C: 0.638 0.875 0.263  -0.05
Ce: 0.351 0.187 0.794  0.67
Ce: 0.857 0.563 0.664  0.67
Ce: 0.393 0.557 0.206  0.67
Ce: 0.806 0.620 0.169  0.77
Ce: 0.799 0.130 0.686  0.77
Ce: 0.451 0.637 0.831  0.77
Ce: 0.899 0.193 0.337  0.67
Ce: 0.444 0.113 0.314  0.77
I: 0.078 0.078 0.000  0.01
I: 0.172 0.672 0.500  0.01

Computed properties:
Space-group type: I2_12_12_1
E above lowest polymorph, meV/atom: 246

***

No. 2
A geometry-optimized Ce4C2I structure. Source: Alexandria via LeMat-Bulk, functional PBE.

Lattice parameters (Å, degrees): 3.673 3.673 14.401 82.67 82.67 60.00
Each line ends with the local moment (μB).
Sites, in units of the cell vectors:
I: 0.000 0.000 0.000  -0.01
C: 0.573 0.573 0.281  -0.03
C: 0.427 0.427 0.719  -0.03
Ce: 0.874 0.874 0.378  0.66
Ce: 0.126 0.126 0.622  0.66
Ce: 0.728 0.728 0.817  0.60
Ce: 0.272 0.272 0.183  0.60

Computed properties:
Space-group type: R-3m
E above lowest polymorph, meV/atom: 0

***

No. 3
A geometry-optimized Ce3CI5 structure. Source: Alexandria via LeMat-Bulk, functional PBE.

Lattice parameters (Å, degrees): 7.879 9.743 9.799 106.93 96.19 103.96
Each line ends with the local moment (μB).
Sites, in units of the cell vectors:
Ce: 0.111 0.042 0.779  1.17
Ce: 0.038 0.739 0.926  1.14
Ce: 0.962 0.261 0.074  1.14
Ce: 0.889 0.958 0.221  1.17
Ce: 0.622 0.872 0.825  0.98
Ce: 0.378 0.128 0.175  0.98
C: 0.912 0.970 0.959  -0.04
C: 0.088 0.030 0.041  -0.04
I: 0.661 0.551 0.728  -0.01
I: 0.090 0.375 0.819  -0.01
I: 0.339 0.449 0.272  -0.01
I: 0.544 0.198 0.904  -0.01
I: 0.910 0.625 0.181  -0.01
I: 0.456 0.802 0.096  -0.01
I: 0.801 0.267 0.360  -0.02
I: 0.199 0.733 0.640  -0.02
I: 0.748 0.917 0.540  -0.01
I: 0.252 0.083 0.460  -0.01

Computed properties:
Space-group type: P-1

***

No. 4
A geometry-optimized Ce2CI3 structure. Source: Alexandria via LeMat-Bulk, functional PBE.

Lattice parameters (Å, degrees): 4.137 10.348 10.908 72.88 79.07 78.47
Each line ends with the local moment (μB).
Sites, in units of the cell vectors:
Ce: 0.871 0.485 0.773  0.56
Ce: 0.430 0.679 0.462  0.46
Ce: 0.570 0.321 0.538  0.46
Ce: 0.129 0.515 0.227  0.56
I: 0.783 0.809 0.624  -0.01
I: 0.964 0.831 0.242  -0.01
I: 0.332 0.330 0.006  -0.01
I: 0.036 0.169 0.758  -0.01
I: 0.668 0.670 0.994  -0.01
I: 0.217 0.191 0.376  -0.01
C: 0.430 0.493 0.647  -0.04
C: 0.570 0.507 0.353  -0.04

Computed properties:
Space-group type: C2/m

***

Number 1: electronic total energy -6.387 eV/atom, raw formation energy -0.139 eV/atom. Number 2: electronic total energy -6.633 eV/atom, raw formation energy -0.386 eV/atom. Number 3: electronic total energy -5.015 eV/atom, raw formation energy -1.151 eV/atom. Number 4: electronic total energy -5.273 eV/atom, raw formation energy -0.983 eV/atom.